18
Lattice="6.7482 -0.1590 -0.1128 3.1944 5.9464 -0.1128 3.1944 1.8594 5.6493" Properties=species:S:1:pos:R:3 comment="Ho2GaNi12B3 PBE-GGA optimized geometry" e_tot_ev_per_atom=-5.756 formation_energy_ev_per_atom=-0.112 total_magnetization_mub_per_fu=0.00 pbc="T T T"
Ni 8.3567 6.6380 4.7082
Ni 3.2380 3.6585 0.7155
Ni 9.8990 3.9883 4.7082
Ni 7.6640 1.9999 1.4185
Ni 7.6130 1.9702 4.0053
Ni 5.4729 5.6469 4.0053
Ni 5.5239 5.6766 1.4185
Ni 9.8990 5.7620 2.2076
Ni 4.7803 1.0088 0.7155
Ni 5.5239 3.2154 4.8885
Ni 7.6130 4.4314 0.5353
Ni 3.2380 1.8848 3.2162
Ga 0.0000 0.0000 0.0000
B 1.5972 0.9297 2.8247
B 1.5972 2.9732 -0.0564
B 3.3741 -0.0795 -0.0564
Ho 7.8111 4.5467 3.2250
Ho 5.3258 3.1001 2.1988


4
Lattice="-1.7676 -2.3554 -2.8629 2.4391 -1.7219 -0.0894 0.2607 -5.2415 4.1514" Properties=species:S:1:pos:R:3 comment="HgPtAu2 PBE-GGA optimized geometry" e_tot_ev_per_atom=-3.180 formation_energy_ev_per_atom=0.045 total_magnetization_mub_per_fu=0.00 pbc="T T T"
Au -0.1920 -2.8871 -0.4522
Au 0.2680 -5.2399 4.1457
Pt 1.1388 -6.3979 1.6146
Hg 1.3282 -3.5178 2.0742


12
Lattice="3.6787 0.0000 0.0000 0.0000 10.3640 -5.9837 0.0000 0.0000 11.9673" Properties=species:S:1:pos:R:3 comment="Na11Ac PBE-GGA optimized geometry" e_tot_ev_per_atom=-1.488 formation_energy_ev_per_atom=0.064 total_magnetization_mub_per_fu=0.00 pbc="T T T"
Na 0.0000 6.9094 0.0000
Na 1.8394 8.5764 -2.8874
Na 0.0000 5.1820 -2.9918
Na 0.0000 3.4547 5.9837
Na 1.8394 8.5764 2.8874
Na 1.8394 1.7876 3.0962
Na 1.8394 3.5752 0.0000
Na 0.0000 0.0000 5.9837
Na 1.8394 6.7888 5.9837
Na 1.8394 1.7876 8.8711
Na 0.0000 5.1820 2.9918
Ac 0.0000 0.0000 0.0000


20
Lattice="-0.4392 -7.4346 -3.6315 3.7685 -3.2202 6.6395 -7.4570 -1.0081 3.4685" Properties=species:S:1:pos:R:3 comment="Pr3HoS6 PBE-GGA optimized geometry" e_tot_ev_per_atom=-6.420 e_form_raw_ev_per_atom=-2.05 total_magnetization_mub_per_fu=0.00 pbc="T T T"
S 2.7366 -5.3142 5.2103
S -3.4874 -4.2018 1.6330
S -5.6830 -2.4842 4.9406
S -6.8642 -6.3486 1.2662
S -4.0291 -6.1445 5.0544
S -0.0985 -5.5183 1.4220
S -1.7128 -4.3129 8.2153
S -1.1116 -3.5529 4.3156
S -0.6402 -7.4610 4.8435
S -3.0160 -8.1099 2.1608
S -2.4148 -7.3500 -1.7388
S 1.5553 -9.1786 1.5359
Ho -2.0638 -5.8314 3.2382
Ho 0.0000 0.0000 0.0000
Pr 1.4649 -3.7591 3.1265
Pr -2.3038 -6.9465 7.1699
Pr -0.8008 -9.7239 3.1263
Pr -5.5926 -7.9038 3.3500
Pr -3.3269 -1.9390 3.3502
Pr -1.8238 -4.7164 -0.6935


10
Lattice="4.7876 0.0000 0.0000 -2.3938 5.5673 -0.3600 0.0000 0.3535 10.5848" Properties=species:S:1:pos:R:3 comment="In3SnPb PBE-GGA optimized geometry" e_tot_ev_per_atom=-3.162 formation_energy_ev_per_atom=0.024 e_above_lowest_polymorph_mev_per_atom=0 total_magnetization_mub_per_fu=0.00 pbc="T T T"
In 0.0000 2.9841 7.6809
In 2.3938 2.9367 2.5440
In 2.3938 5.1803 6.5163
In 2.3938 0.8662 8.8701
In 0.0000 0.7406 3.7086
In 0.0000 5.0546 1.3547
Pb 2.3938 4.2405 9.7722
Pb 0.0000 1.6803 0.4527
Sn 2.3938 1.8329 5.6706
Sn 0.0000 4.0880 4.5542


8
Lattice="3.7213 0.0005 0.8934 1.5118 7.2348 1.8964 0.1365 0.1149 7.6284" Properties=species:S:1:pos:R:3 comment="CaMg5Tl2 PBE-GGA optimized geometry" e_tot_ev_per_atom=-1.952 formation_energy_ev_per_atom=-0.114 total_magnetization_mub_per_fu=0.00 pbc="T T T"
Mg 3.2519 4.1164 2.8467
Mg 2.6799 6.1443 5.2284
Mg 2.6897 1.2060 5.1898
Mg 2.1177 3.2338 7.5715
Mg 0.8241 3.6749 4.7624
Tl 1.3737 1.7260 2.4735
Tl 3.9959 5.6242 7.9447
Ca 0.0000 0.0000 0.0000


12
Lattice="-0.5577 -5.3800 -0.6952 6.2546 -0.8554 1.6031 -5.3284 -0.0488 4.6523" Properties=species:S:1:pos:R:3 comment="LaCu2SeO2 PBE-GGA optimized geometry" e_tot_ev_per_atom=-5.658 e_form_raw_ev_per_atom=-1.24 total_magnetization_mub_per_fu=0.00 pbc="T T T"
Cu -0.5816 -1.8461 4.0594
Cu 0.9500 -4.4381 1.5009
Cu 1.5781 -4.8128 3.8966
Cu -1.2096 -1.4715 1.6637
La 4.4856 -4.7843 1.3435
La -4.1172 -1.5000 4.2168
O 0.4131 -3.3986 4.5442
O 0.2332 -0.2050 1.3624
O -0.0446 -2.8856 1.0161
O 0.1352 -6.0792 4.1979
Se 2.9076 -1.9939 2.4036
Se -2.5391 -4.2904 3.1567


12
Lattice="6.1647 0.0000 -0.5555 0.0000 5.7683 0.0000 -3.4984 0.0000 9.7530" Properties=species:S:1:pos:R:3 comment="AlGeBr PBE-GGA optimized geometry" e_tot_ev_per_atom=-3.615 e_form_raw_ev_per_atom=-0.27 total_magnetization_mub_per_fu=0.00 pbc="T T T"
Al 0.1290 0.5397 3.2509
Al 2.5374 5.2286 5.9466
Al 3.2113 2.3444 2.9732
Al -0.5450 3.4239 6.2243
Br 0.8191 5.0145 7.7336
Br 1.8473 0.7538 1.4639
Br 4.9297 2.1304 1.1862
Br -2.2633 3.6380 8.0113
Ge -1.9169 1.1231 5.5154
Ge 4.5833 4.6453 3.6821
Ge 1.5009 4.0072 3.9598
Ge 1.1655 1.7611 5.2377


9
Lattice="-4.1071 0.1585 1.3868 -2.4375 -4.0112 -6.7602 2.3815 -2.7813 7.3705" Properties=species:S:1:pos:R:3 comment="Ce6FeAu2 PBE-GGA optimized geometry" e_tot_ev_per_atom=-5.925 formation_energy_ev_per_atom=-0.301 total_magnetization_mub_per_fu=0.00 pbc="T T T"
Ce -0.0441 -5.3502 0.4807
Ce -2.0741 -2.4141 0.9174
Ce -3.4906 -2.5595 -3.2609
Ce 1.7336 -3.3113 5.5125
Ce -1.7956 -4.2121 -4.8365
Ce -0.6540 -1.8355 5.0568
Au 0.7199 -3.2323 2.5012
Au -0.7763 -3.6142 -1.8860
Fe -2.0569 -0.3236 0.7296


6
Lattice="1.5611 5.5146 0.0243 -1.5611 5.5146 0.0243 0.0000 3.0934 7.7585" Properties=species:S:1:pos:R:3 comment="AlIn PBE-GGA optimized geometry" e_tot_ev_per_atom=-3.092 formation_energy_ev_per_atom=0.149 total_magnetization_mub_per_fu=0.00 pbc="T T T"
In 0.0000 7.8084 0.4642
In 0.0000 9.8398 5.0416
In 0.0000 1.6736 3.2770
Al 0.0000 4.5837 2.2226
Al 0.0000 13.8781 7.7745
Al 0.0000 6.9382 5.9426


10
Lattice="8.2366 0.0000 0.0000 0.0000 8.2366 0.0000 0.0000 0.0000 3.6998" Properties=species:S:1:pos:R:3 comment="In2Ga2Bi PBE-GGA optimized geometry" e_tot_ev_per_atom=-3.017 formation_energy_ev_per_atom=0.066 e_above_lowest_polymorph_mev_per_atom=7 total_magnetization_mub_per_fu=0.00 pbc="T T T"
In 2.6359 1.4824 1.8499
In 1.4824 5.6008 1.8499
In 6.7542 2.6359 1.8499
In 5.6008 6.7542 1.8499
Ga 0.9841 3.1342 0.0000
Ga 5.1024 0.9841 0.0000
Ga 7.2526 5.1024 0.0000
Ga 3.1342 7.2526 0.0000
Bi 4.1183 4.1183 0.0000
Bi 0.0000 0.0000 0.0000


6
Lattice="-1.9383 2.5166 1.5831 0.2931 -1.7188 3.0913 7.5084 4.6163 1.8548" Properties=species:S:1:pos:R:3 comment="HfScAg4 PBE-GGA optimized geometry" e_tot_ev_per_atom=-4.765 formation_energy_ev_per_atom=-0.150 total_magnetization_mub_per_fu=0.30 pbc="T T T"
Ag 0.4430 1.1770 2.6500
Ag 5.4202 4.2370 3.8792
Ag 2.4966 1.5350 0.6168
Ag 3.3666 3.8791 5.9123
Hf 0.0000 0.0000 0.0000
Sc 2.9316 2.7070 3.2646